# 1
# La2Pd2Au GGA-PBEsol optimized geometry
# **Spin magnetization**: 0.000 μB/cell
# **Calculated formation energy**: -3.99 eV/f.u.
# **DOS(E_F)**: 6.8 states/eV per cell
data_La2Pd2Au
_cell_length_a 7.551
_cell_length_b 7.551
_cell_length_c 3.963
_cell_angle_alpha 90.00
_cell_angle_beta 90.00
_cell_angle_gamma 90.00
_space_group_name_H-M_alt 'P 4/m b m'
_space_group_IT_number 127
_space_group_name_Hall '-P 4 2ab'
loop_
_atom_site_label
_atom_site_fract_x
_atom_site_fract_y
_atom_site_fract_z
_atom_site_occupancy
La1 0.178 0.322 0.000 1
Pd1 0.129 0.629 0.500 1
Au1 0.000 0.000 0.500 1

# 2
# La3PdAu GGA-PBEsol optimized geometry
# **Spin magnetization**: 0.000 μB/cell
# **Calculated formation energy**: -0.22 eV/f.u.
# **DOS(E_F)**: 8.3 states/eV per cell
data_La3PdAu
_cell_length_a 5.501
_cell_length_b 5.501
_cell_length_c 5.501
_cell_angle_alpha 90.00
_cell_angle_beta 90.00
_cell_angle_gamma 90.00
_space_group_name_H-M_alt 'P m -3 m'
_space_group_IT_number 221
_space_group_name_Hall '-P 4 2 3'
loop_
_atom_site_label
_atom_site_fract_x
_atom_site_fract_y
_atom_site_fract_z
_atom_site_occupancy
La1 0.000 0.000 0.500 1
Pd1 0.000 0.000 0.000 1
Au1 0.500 0.500 0.500 1

# 3
# LaSnPdAu2 GGA-PBEsol optimized geometry
# **Spin magnetization**: 0.000 μB/cell
# **Calculated formation energy**: 2.57 eV/f.u.
# **DOS(E_F)**: 3.2 states/eV per cell
data_LaSnPdAu2
_cell_length_a 4.959
_cell_length_b 4.959
_cell_length_c 5.982
_cell_angle_alpha 90.00
_cell_angle_beta 90.00
_cell_angle_gamma 90.00
_space_group_name_H-M_alt 'P 4/m m m'
_space_group_IT_number 123
_space_group_name_Hall '-P 4 2'
loop_
_atom_site_label
_atom_site_fract_x
_atom_site_fract_y
_atom_site_fract_z
_atom_site_occupancy
La1 0.000 0.000 0.000 1
Sn1 0.000 0.000 0.500 1
Pd1 0.500 0.500 0.000 1
Au1 0.000 0.500 0.500 1